[1]
Compound: TlCu2PO
Source: Alexandria via LeMat-Bulk
Functional: GGA-PBEsol
Structure: relaxed

Calculated values
Symmetry: P4/mmm (123)
E_tot, eV for the cell shown: -16.51
Uncorrected formation energy, eV per atom: 1.17

Lattice parameters (Å, degrees): 4.919 4.919 3.950 90.00 90.00 90.00
Fractional coordinates of all 5 atoms:
Tl 0.000 0.000 0.000
Cu 0.000 0.500 0.000
Cu 0.500 0.000 0.000
P 0.500 0.500 0.500
O 0.000 0.000 0.500

---

[2]
Compound: TlCuPO4
Source: Alexandria via LeMat-Bulk
Functional: GGA-PBEsol
Structure: relaxed

Calculated values
Symmetry: C2/c (15)
E_tot, eV for the cell shown: -176.79
Uncorrected formation energy, eV per atom: -1.49

Lattice parameters (Å, degrees): 4.819 4.819 17.699 92.56 92.56 91.92
Fractional coordinates of all 28 atoms:
Tl 0.191 0.790 0.561
Tl 0.210 0.809 0.939
Tl 0.790 0.191 0.061
Tl 0.809 0.210 0.439
Cu 0.163 0.333 0.749
Cu 0.333 0.163 0.249
Cu 0.667 0.837 0.751
Cu 0.837 0.667 0.251
P 0.307 0.636 0.144
P 0.364 0.693 0.356
P 0.636 0.307 0.644
P 0.693 0.364 0.856
O 0.053 0.755 0.342
O 0.139 0.470 0.205
O 0.216 0.530 0.065
O 0.245 0.947 0.158
O 0.380 0.425 0.840
O 0.425 0.380 0.340
O 0.470 0.139 0.705
O 0.470 0.784 0.435
O 0.530 0.216 0.565
O 0.530 0.861 0.295
O 0.575 0.620 0.660
O 0.620 0.575 0.160
O 0.755 0.053 0.842
O 0.784 0.470 0.935
O 0.861 0.530 0.795
O 0.947 0.245 0.658

---

[3]
Compound: VCu3P4O16
Source: Alexandria via LeMat-Bulk
Functional: GGA-PBEsol
Structure: relaxed

Calculated values
Symmetry: Pm (6)
E_tot, eV for the cell shown: -170.13
Uncorrected formation energy, eV per atom: -1.68

Lattice parameters (Å, degrees): 4.800 5.806 9.673 90.00 91.01 90.00
Fractional coordinates of all 24 atoms:
V 0.000 0.000 0.000
Cu 0.090 0.500 0.557
Cu 0.451 0.500 0.065
Cu 0.631 0.000 0.496
P 0.142 0.000 0.677
P 0.432 0.000 0.184
P 0.627 0.500 0.377
P 0.964 0.500 0.871
O 0.185 0.000 0.844
O 0.263 0.198 0.108
O 0.263 0.802 0.108
O 0.279 0.500 0.891
O 0.291 0.212 0.620
O 0.291 0.788 0.620
O 0.313 0.500 0.395
O 0.397 0.000 0.337
O 0.683 0.500 0.221
O 0.737 0.000 0.140
O 0.790 0.298 0.450
O 0.790 0.702 0.450
O 0.825 0.000 0.664
O 0.834 0.284 0.949
O 0.834 0.716 0.949
O 0.866 0.500 0.722